No. 1
12
Lattice="3.913 0.000 0.000 0.000 5.520 0.000 0.000 0.000 8.037" Properties=species:S:1:pos:R:3 comment="Al2Rh GGA-PBEsol optimized geometry" e_tot_ev_per_atom=-6.224 vol_a3_per_atom=14.5 formation_energy_ev_per_atom=-0.7836 magmom_total_mub_per_fu=0.00 pbc="T T T"
Al 0.978 3.118 2.712
Al 2.935 5.162 6.730
Al 0.978 0.358 1.307
Rh 0.978 1.346 6.738
Al 2.935 4.655 3.763
Rh 0.978 4.106 5.318
Al 0.978 3.625 7.781
Rh 2.935 4.174 1.300
Rh 2.935 1.414 2.719
Al 2.935 1.895 0.256
Al 0.978 0.865 4.275
Al 2.935 2.402 5.326

---

No. 2
11
Lattice="4.150 0.000 0.000 0.000 4.150 0.000 0.000 0.000 10.906" Properties=species:S:1:pos:R:3 comment="Ho2Ga8Co GGA-PBEsol optimized geometry" e_tot_ev_per_atom=-4.575 vol_a3_per_atom=17.1 formation_energy_ev_per_atom=-0.5429 magmom_total_mub_per_fu=0.00 pbc="T T T"
Ga 0.000 2.075 1.277
Ga 0.000 2.075 5.453
Ga 2.075 0.000 9.629
Ga 2.075 2.075 7.574
Ga 2.075 0.000 1.277
Ga 2.075 2.075 3.332
Ho 0.000 0.000 3.340
Ga 0.000 2.075 9.629
Ho 0.000 0.000 7.566
Ga 2.075 0.000 5.453
Co 0.000 0.000 0.000

---

No. 3
4
Lattice="3.085 0.000 0.000 0.000 3.085 0.000 0.000 0.000 6.437" Properties=species:S:1:pos:R:3 comment="MgReSi2 GGA-PBEsol optimized geometry" e_tot_ev_per_atom=-6.754 e_form_raw_ev_per_atom=-0.1184 vol_a3_per_atom=15.3 magmom_total_mub_per_fu=0.00 pbc="T T T"
Mg 1.542 1.542 0.000
Si 0.000 0.000 4.531
Si 0.000 0.000 1.906
Re 1.542 1.542 3.219

---

No. 4
6
Lattice="-0.346 1.444 2.136 4.025 -2.334 2.231 2.463 3.636 -3.644" Properties=species:S:1:pos:R:3 comment="CoRh GGA-PBEsol optimized geometry" e_tot_ev_per_atom=-7.857 vol_a3_per_atom=12.1 formation_energy_ev_per_atom=0.0811 magmom_total_mub_per_fu=1.93 pbc="T T T"
Co 4.001 2.102 0.812
Co 2.141 0.645 -0.089
Rh 2.067 3.207 -0.249
Rh 4.074 -0.460 0.972
Rh -0.173 0.722 1.068
Co 1.839 -0.445 2.183

---

No. 5
5
Lattice="-3.629 0.106 -2.568 -2.538 -0.845 3.552 -0.633 6.843 1.176" Properties=species:S:1:pos:R:3 comment="BaAlTeN2 GGA-PBEsol optimized geometry" e_tot_ev_per_atom=-3.876 e_form_raw_ev_per_atom=1.4876 vol_a3_per_atom=27.6 magmom_total_mub_per_fu=1.96 pbc="T T T"
Ba 0.000 0.000 0.000
N -1.269 -0.423 1.776
Te -0.317 3.421 0.588
Al -3.400 3.051 1.080
N -1.814 0.053 -1.284

---

No. 6
5
Lattice="4.542 0.000 0.000 0.000 4.584 0.000 0.000 0.000 4.584" Properties=species:S:1:pos:R:3 comment="MgGaPdPt2 GGA-PBEsol optimized geometry" e_tot_ev_per_atom=-4.896 vol_a3_per_atom=19.1 formation_energy_ev_per_atom=0.0924 magmom_total_mub_per_fu=0.00 pbc="T T T"
Mg 2.271 2.292 2.292
Pt 0.000 2.292 0.000
Pd 2.271 0.000 0.000
Pt 0.000 0.000 2.292
Ga 0.000 0.000 0.000

---

No. 7
2
Lattice="-1.746 0.853 2.035 -0.411 -1.613 2.269 2.757 1.828 3.545" Properties=species:S:1:pos:R:3 comment="PdAu GGA-PBEsol optimized geometry" e_tot_ev_per_atom=-5.004 vol_a3_per_atom=15.7 formation_energy_ev_per_atom=-0.0625 magmom_total_mub_per_fu=0.00 pbc="T T T"
Au 0.000 0.000 0.000
Pd 0.300 0.534 3.925

---

No. 8
5
Lattice="-0.782 -3.099 1.906 4.204 -1.862 -1.302 2.038 1.880 3.893" Properties=species:S:1:pos:R:3 comment="SiP2WO GGA-PBEsol optimized geometry" e_tot_ev_per_atom=-7.327 e_form_raw_ev_per_atom=-0.0497 vol_a3_per_atom=17.0 magmom_total_mub_per_fu=0.00 pbc="T T T"
O -0.391 -1.549 0.953
Si 2.730 -1.541 2.248
P 1.019 0.940 1.946
P 2.102 -0.931 -0.651
W 0.000 0.000 0.000

---

No. 9
20
Lattice="5.000 0.000 0.000 0.000 5.303 0.000 0.000 0.000 7.186" Properties=species:S:1:pos:R:3 comment="HoMgNi2O6 GGA-PBEsol optimized geometry" e_tot_ev_per_atom=-6.918 e_form_raw_ev_per_atom=-1.8701 vol_a3_per_atom=9.5 magmom_total_mub_per_fu=0.04 pbc="T T T"
Mg 2.638 4.366 0.000
O 3.972 0.195 1.342
O 1.989 1.057 0.000
Ho 2.396 3.588 3.593
O 3.432 2.960 5.788
O 0.932 2.343 2.195
Ni 0.012 4.002 1.792
O 1.472 5.108 4.935
Ho 4.897 1.715 0.000
Mg 0.138 0.937 3.593
O 0.932 2.343 4.991
O 0.646 3.827 0.000
O 3.147 1.476 3.593
O 4.490 4.245 3.593
O 3.432 2.960 1.398
O 3.972 0.195 5.844
Ni 0.012 4.002 5.393
O 1.472 5.108 2.251
Ni 2.512 1.301 1.801
Ni 2.512 1.301 5.385

---

No. 10
4
Lattice="-0.689 2.906 0.837 -2.005 0.203 -2.356 -5.016 -2.362 4.072" Properties=species:S:1:pos:R:3 comment="Fe2AgPb GGA-PBEsol optimized geometry" e_tot_ev_per_atom=-5.923 vol_a3_per_atom=16.5 formation_energy_ev_per_atom=0.3860 magmom_total_mub_per_fu=5.25 pbc="T T T"
Ag -5.349 -0.331 2.491
Fe -2.306 1.103 0.019
Fe -2.203 0.110 -2.194
Pb -2.366 -1.113 1.918

---

No. 11
14
Lattice="4.102 0.000 0.000 2.051 7.729 0.103 2.051 1.675 7.547" Properties=species:S:1:pos:R:3 comment="Tm3Ga8Rh3 GGA-PBEsol optimized geometry" e_tot_ev_per_atom=-5.443 vol_a3_per_atom=17.0 formation_energy_ev_per_atom=-0.7406 magmom_total_mub_per_fu=0.00 pbc="T T T"
Ga 2.051 3.883 1.558
Ga 6.154 7.089 4.165
Rh 2.051 0.000 0.000
Ga 4.102 7.578 2.666
Tm 4.102 7.812 6.354
Ga 6.154 5.522 6.092
Ga 4.102 4.153 6.877
Rh 2.051 6.394 1.744
Ga 4.102 5.251 0.773
Tm 4.102 4.702 3.825
Tm 4.102 1.593 1.295
Rh 2.051 3.010 5.905
Ga 4.102 1.826 4.984
Ga 2.051 2.316 3.484

---

No. 12
5
Lattice="4.801 0.000 0.000 0.000 4.998 0.000 0.000 0.000 4.998" Properties=species:S:1:pos:R:3 comment="NbFeBi2Pb GGA-PBEsol optimized geometry" e_tot_ev_per_atom=-5.819 vol_a3_per_atom=24.0 formation_energy_ev_per_atom=0.6522 magmom_total_mub_per_fu=0.91 pbc="T T T"
Bi 0.000 0.000 2.499
Pb 2.400 2.499 2.499
Bi 0.000 2.499 0.000
Nb 2.400 0.000 0.000
Fe 0.000 0.000 0.000

---

No. 13
5
Lattice="4.217 0.000 0.000 0.000 4.217 0.000 0.000 0.000 4.429" Properties=species:S:1:pos:R:3 comment="MnSi2MoIr GGA-PBEsol optimized geometry" e_tot_ev_per_atom=-7.617 e_form_raw_ev_per_atom=0.9519 vol_a3_per_atom=15.7 magmom_total_mub_per_fu=2.37 pbc="T T T"
Mo 2.108 2.108 2.215
Si 2.108 0.000 0.000
Mn 0.000 0.000 0.000
Ir 0.000 0.000 2.215
Si 0.000 2.108 0.000

---

No. 14
5
Lattice="2.902 0.000 0.000 0.000 2.902 0.000 0.000 0.000 4.642" Properties=species:S:1:pos:R:3 comment="BePH2O GGA-PBEsol optimized geometry" e_tot_ev_per_atom=-4.265 vol_a3_per_atom=7.8 magmom_total_mub_per_fu=0.00 pbc="T T T"
Be 0.000 0.000 0.000
H 0.000 1.451 0.000
O 1.451 1.451 2.321
P 0.000 0.000 2.321
H 1.451 0.000 0.000

---

No. 15
16
Lattice="5.792 0.000 0.000 0.000 8.534 0.000 0.000 -4.267 7.390" Properties=species:S:1:pos:R:3 comment="Zr5Pb3 GGA-PBEsol optimized geometry" e_tot_ev_per_atom=-7.504 vol_a3_per_atom=22.8 formation_energy_ev_per_atom=-0.3232 magmom_total_mub_per_fu=0.00 pbc="T T T"
Zr 1.448 -3.217 5.572
Zr 0.000 0.000 4.927
Pb 1.448 3.340 0.000
Pb 1.448 -1.670 2.893
Pb 4.344 1.670 2.893
Zr 1.448 1.050 1.818
Zr 4.344 3.217 5.572
Zr 2.896 0.000 4.927
Pb 4.344 -2.597 4.498
Zr 0.000 4.267 2.463
Zr 4.344 -1.050 1.818
Pb 1.448 2.597 4.498
Pb 4.344 5.193 0.000
Zr 4.344 2.099 0.000
Zr 2.896 4.267 2.463
Zr 1.448 6.434 0.000

---

No. 16
4
Lattice="4.435 0.000 0.000 2.218 3.841 0.000 2.218 1.280 3.621" Properties=species:S:1:pos:R:3 comment="YFeTc2 GGA-PBEsol optimized geometry" e_tot_ev_per_atom=-9.325 vol_a3_per_atom=15.4 formation_energy_ev_per_atom=0.2546 magmom_total_mub_per_fu=1.90 pbc="T T T"
Fe 4.435 2.561 1.811
Y 2.218 1.280 0.905
Tc 6.653 3.841 2.716
Tc 0.000 0.000 0.000

---

No. 17
5
Lattice="-3.223 -1.313 -3.608 2.709 -4.139 -0.913 -2.740 -2.537 3.371" Properties=species:S:1:pos:R:3 comment="InAs2PtSe GGA-PBEsol optimized geometry" e_tot_ev_per_atom=-3.439 e_form_raw_ev_per_atom=1.3632 vol_a3_per_atom=25.4 magmom_total_mub_per_fu=0.00 pbc="T T T"
Se -1.611 -0.657 -1.804
As 1.355 -2.070 -0.457
As -1.370 -1.269 1.685
Pt -1.627 -3.995 -0.576
In 0.000 0.000 0.000

---

No. 18
4
Lattice="3.258 0.000 0.000 0.000 3.250 0.000 0.000 0.000 5.908" Properties=species:S:1:pos:R:3 comment="LiMgZn2 GGA-PBEsol optimized geometry" e_tot_ev_per_atom=-1.826 vol_a3_per_atom=15.6 formation_energy_ev_per_atom=-0.1139 magmom_total_mub_per_fu=0.00 pbc="T T T"
Li 1.629 1.625 0.000
Zn 0.000 0.000 1.329
Zn 0.000 0.000 4.579
Mg 1.629 1.625 2.954

---

No. 19
3
Lattice="-1.411 0.637 4.767 -4.645 -1.231 1.424 -0.744 -3.986 2.947" Properties=species:S:1:pos:R:3 comment="BaWAu GGA-PBEsol optimized geometry" e_tot_ev_per_atom=-5.211 vol_a3_per_atom=29.7 formation_energy_ev_per_atom=1.4155 magmom_total_mub_per_fu=4.23 pbc="T T T"
Ba 0.000 0.000 0.000
Au -5.101 -3.435 6.854
W -3.400 -2.290 4.569

---

No. 20
4
Lattice="-4.755 -0.750 3.308 -5.061 -1.548 -2.470 -2.146 -5.364 0.855" Properties=species:S:1:pos:R:3 comment="Ba2SbBr GGA-PBEsol optimized geometry" e_tot_ev_per_atom=-4.136 e_form_raw_ev_per_atom=-1.4548 vol_a3_per_atom=35.2 magmom_total_mub_per_fu=0.00 pbc="T T T"
Sb -5.981 -3.831 0.846
Ba -2.991 -1.916 0.423
Br 0.000 0.000 0.000
Ba -8.972 -5.747 1.270